[1]
DFT (GGA-PBE) results for a relaxed structure of AcTa2AgO8.

Output
**E_form (uncorrected)**: -2.0728 eV per atom
**Density of states at the Fermi level**: 0.93 states/eV/cell

Lattice parameters (Å, degrees): 5.4540 5.4540 6.3087 90.00 90.00 120.00
Space group P-3 (No. 147)
Unique sites:
Ac: 0.0000 0.0000 0.0000 x1
Ta: 0.3333 0.6667 0.3913 x2
Ag: 0.0000 0.0000 0.5000 x1
O: 0.0507 0.3720 0.6527 x6
O: 0.3333 0.6667 0.0968 x2



[2]
DFT (GGA-PBE) results for a relaxed structure of Hg2HO.

Output
**Excess energy over the best structure of this formula in the dataset**: 320 meV/atom
**Density of states at the Fermi level**: 4.41 states/eV/cell

Lattice parameters (Å, degrees): 6.063 6.063 6.063 90.00 90.00 90.00
Space group Fm-3m (No. 225)
Unique sites:
Hg: 0.250 0.250 0.250 x8
H: 0.000 0.000 0.000 x4
O: 0.000 0.000 0.500 x4



[3]
DFT (GGA-PBE) results for a relaxed structure of CaTb3Cd6.

Output
**Calculated formation energy**: -0.29 eV/atom
**Density of states at the Fermi level**: 13.37 states/eV/cell

Lattice parameters (Å, degrees): 9.214 5.211 11.147 90.00 105.90 90.00
Space group P2_1/m (No. 11)
Unique sites:
Ca: 0.054 0.250 0.392 x2
Tb: 0.239 0.250 0.998 x2
Tb: 0.355 0.750 0.796 x2
Tb: 0.469 0.250 0.608 x2
Cd: 0.054 0.750 0.902 x2
Cd: 0.140 0.750 0.198 x2
Cd: 0.158 0.250 0.696 x2
Cd: 0.248 0.750 0.500 x2
Cd: 0.341 0.250 0.293 x2
Cd: 0.445 0.750 0.095 x2



[4]
DFT (GGA-PBE) results for a relaxed structure of Sc3AlO.

Output
**E_form (uncorrected)**: -1.2599 eV per atom
**Density of states at the Fermi level**: 9.23 states/eV/cell

Lattice parameters (Å, degrees): 7.581 6.025 10.607 90.00 129.83 90.00
Space group P2_1/c (No. 14)
Unique sites:
Sc: 0.047 0.132 0.268 x4
Sc: 0.285 0.079 0.651 x4
Sc: 0.436 0.746 0.474 x4
Al: 0.202 0.605 0.614 x4
O: 0.259 0.070 0.835 x4



[5]
DFT (GGA-PBE) results for a relaxed structure of SrZr2Pt2.

Output
**Excess energy over the best structure of this formula in the dataset**: 196 meV/atom
**Calculated formation energy**: -0.62 eV/atom
**Density of states at the Fermi level**: 10.01 states/eV/cell

Lattice parameters (Å, degrees): 8.109 8.109 3.382 90.00 90.00 90.00
Space group P4/mbm (No. 127)
Unique sites:
Sr: 0.000 0.000 0.000 x2
Zr: 0.155 0.345 0.500 x4
Pt: 0.128 0.628 0.000 x4



[6]
DFT (GGA-PBE) results for a relaxed structure of TaHBr3.

Output
**Excess energy over the best structure of this formula in the dataset**: 0 meV/atom
**Density of states at the Fermi level**: 2.59 states/eV/cell

Lattice parameters (Å, degrees): 5.155 5.155 5.155 90.00 90.00 90.00
Space group Pm-3m (No. 221)
Unique sites:
Ta: 0.000 0.000 0.000 x1
H: 0.500 0.500 0.500 x1
Br: 0.000 0.000 0.500 x3



[7]
DFT (GGA-PBE) results for a relaxed structure of LiTaIn4.

Output
**Calculated formation energy**: 0.48 eV/atom
**Density of states at the Fermi level**: 14.30 states/eV/cell

Lattice parameters (Å, degrees): 8.182 8.182 8.182 90.00 90.00 90.00
Space group F-43m (No. 216)
Unique sites:
Li: 0.000 0.000 0.000 x4
Ta: 0.250 0.250 0.750 x4
In: 0.125 0.125 0.375 x16



[8]
DFT (GGA-PBE) results for a relaxed structure of BaCd2Pb10.

Output
**Calculated formation energy**: -0.09 eV/atom
**Density of states at the Fermi level**: 23.02 states/eV/cell

Lattice parameters (Å, degrees): 6.362 15.969 16.517 90.00 90.00 90.00
Space group Fmmm (No. 69)
Unique sites:
Ba: 0.000 0.000 0.000 x4
Cd: 0.250 0.000 0.250 x8
Pb: 0.000 0.105 0.388 x16
Pb: 0.000 0.174 0.180 x16
Pb: 0.250 0.250 0.000 x8



[9]
DFT (GGA-PBE) results for a relaxed structure of Co2ReB.

Output
**Calculated formation energy**: 0.85 eV/atom
**Density of states at the Fermi level**: 9.28 states/eV/cell

Lattice parameters (Å, degrees): 4.759 4.759 9.579 90.00 90.00 90.00
Space group I-42d (No. 122)
Unique sites:
Co: 0.175 0.250 0.125 x8
Re: 0.000 0.000 0.500 x4
B: 0.000 0.000 0.000 x4



[10]
DFT (GGA-PBE) results for a relaxed structure of Cs2TaI6O.

Output
**E_form (uncorrected)**: -0.6178 eV per atom
**Density of states at the Fermi level**: 17.17 states/eV/cell

Lattice parameters (Å, degrees): 8.049 8.049 12.419 90.00 90.00 90.00
Space group I4/mmm (No. 139)
Unique sites:
Cs: 0.000 0.500 0.250 x4
Ta: 0.000 0.000 0.000 x2
I: 0.000 0.000 0.227 x4
I: 0.246 0.246 0.000 x8
O: 0.000 0.000 0.500 x2



[11]
DFT (GGA-PBE) results for a relaxed structure of Sr2Br.

Output
**Excess energy over the best structure of this formula in the dataset**: 44 meV/atom
**E_form (uncorrected)**: -0.9171 eV per atom
**Density of states at the Fermi level**: 8.52 states/eV/cell

Lattice parameters (Å, degrees): 4.331 7.182 16.617 90.00 90.00 90.00
Space group Fmmm (No. 69)
Unique sites:
Sr: 0.000 0.000 0.148 x8
Br: 0.000 0.000 0.500 x4



[12]
DFT (GGA-PBE) results for a relaxed structure of YBeOs2.

Output
**Calculated formation energy**: 0.38 eV/atom
**Density of states at the Fermi level**: 3.21 states/eV/cell

Lattice parameters (Å, degrees): 4.411 3.116 4.661 90.00 96.70 90.00
Space group P2/m (No. 10)
Unique sites:
Y: 0.000 0.000 0.000 x1
Be: 0.000 0.500 0.500 x1
Os: 0.500 0.000 0.500 x1
Os: 0.500 0.500 0.000 x1



[13]
DFT (GGA-PBE) results for a relaxed structure of Sm7Ho3.

Output
**Excess energy over the best structure of this formula in the dataset**: 168 meV/atom
**Calculated formation energy**: 0.18 eV/atom
**Density of states at the Fermi level**: 35.31 states/eV/cell

Lattice parameters (Å, degrees): 11.1513 11.1513 6.1837 90.00 90.00 120.00
Space group P6_3mc (No. 186)
Unique sites:
Sm: 0.0556 0.5278 0.0000 x6
Sm: 0.1169 0.2339 0.8718 x6
Sm: 0.3333 0.6667 0.7899 x2
Ho: 0.2186 0.4372 0.3828 x6



[14]
DFT (GGA-PBE) results for a relaxed structure of CaLuAs2.

Output
**Calculated formation energy**: -1.17 eV/atom
**Density of states at the Fermi level**: 8.19 states/eV/cell

Lattice parameters (Å, degrees): 4.0819 4.0819 20.8521 90.00 90.00 120.00
Space group R-3m (No. 166, hexagonal axes)
Unique sites:
Ca: 0.0000 0.0000 0.0000 x3
Lu: 0.0000 0.0000 0.5000 x3
As: 0.0000 0.0000 0.2439 x6



[15]
DFT (GGA-PBE) results for a relaxed structure of Mo2PtCl.

Output
**Excess energy over the best structure of this formula in the dataset**: 244 meV/atom
**E_form (uncorrected)**: 0.2933 eV per atom
**Density of states at the Fermi level**: 5.21 states/eV/cell

Lattice parameters (Å, degrees): 4.423 2.768 10.336 90.00 90.00 90.00
Space group Amm2 (No. 38)
Unique sites:
Mo: 0.000 0.000 0.000 x2
Mo: 0.500 0.000 0.335 x2
Pt: 0.500 0.000 0.594 x2
Cl: 0.000 0.000 0.243 x2



[16]
DFT (GGA-PBE) results for a relaxed structure of YHgSBr2.

Output
**E_form (uncorrected)**: 0.0873 eV per atom
**Density of states at the Fermi level**: 2.27 states/eV/cell

Lattice parameters (Å, degrees): 5.068 5.068 6.522 90.00 90.00 90.00
Space group P4/mmm (No. 123)
Unique sites:
Y: 0.000 0.000 0.000 x1
Hg: 0.000 0.000 0.500 x1
S: 0.500 0.500 0.000 x1
Br: 0.000 0.500 0.500 x2



[17]
DFT (GGA-PBE) results for a relaxed structure of CaAlBr4.

Output
**E_form (uncorrected)**: -0.0838 eV per atom
**Density of states at the Fermi level**: 21.58 states/eV/cell

Lattice parameters (Å, degrees): 9.127 9.127 9.127 90.00 90.00 90.00
Space group F-43m (No. 216)
Unique sites:
Ca: 0.000 0.000 0.000 x4
Al: 0.250 0.250 0.750 x4
Br: 0.125 0.125 0.375 x16



[18]
DFT (GGA-PBE) results for a relaxed structure of K2NaMoCl6.

Output
**Excess energy over the best structure of this formula in the dataset**: 2 meV/atom
**E_form (uncorrected)**: -1.4852 eV per atom

Lattice parameters (Å, degrees): 10.363 10.363 10.363 90.00 90.00 90.00
Space group Fm-3m (No. 225)
Unique sites:
K: 0.250 0.250 0.250 x8
Na: 0.000 0.000 0.000 x4
Mo: 0.000 0.000 0.500 x4
Cl: 0.000 0.000 0.263 x24



[19]
DFT (GGA-PBE) results for a relaxed structure of Cd2HgMo.

Output
**Calculated formation energy**: 0.39 eV/atom
**Density of states at the Fermi level**: 2.68 states/eV/cell

Lattice parameters (Å, degrees): 4.253 4.253 4.278 90.00 90.00 90.00
Space group P4/mmm (No. 123)
Unique sites:
Cd: 0.000 0.500 0.000 x2
Hg: 0.000 0.000 0.500 x1
Mo: 0.500 0.500 0.500 x1



[20]
DFT (GGA-PBE) results for a relaxed structure of CaPuMgZn.

Output
**Calculated formation energy**: 0.07 eV/atom
**Density of states at the Fermi level**: 43.36 states/eV/cell

Lattice parameters (Å, degrees): 7.493 7.493 7.493 90.00 90.00 90.00
Space group F-43m (No. 216)
Unique sites:
Ca: 0.000 0.000 0.000 x4
Pu: 0.000 0.000 0.500 x4
Mg: 0.250 0.250 0.750 x4
Zn: 0.250 0.250 0.250 x4